Entry 1:
Below is TaB2As2 after structural relaxation, with properties calculated at the GGA-PBE level. Values from VASP.

Summary:
Total energy in eV per cell: -30.464
Symmetry: I4/mmm
Energy above the most stable polymorph in this dataset in meV per atom: 216
DFT formation energy in eV/atom: 0.81

Cell and atoms, written as Quantum ESPRESSO input:
```
&SYSTEM
  ibrav = 0, nat = 5, ntyp = 3
/
ATOMIC_SPECIES
Ta 180.95 Ta.upf
B 10.81 B.upf
As 74.92 As.upf
ATOMIC_POSITIONS crystal
Ta 0.000 0.000 0.000
B 0.750 0.250 0.500
B 0.250 0.750 0.500
As 0.380 0.380 0.240
As 0.620 0.620 0.760
CELL_PARAMETERS angstrom
-1.581 -1.598 -1.783
1.959 0.366 -2.064
4.177 -7.437 0.653
```


Entry 2:
Below is AlV12Ge3 after structural relaxation, with properties calculated at the GGA-PBE level. Values from VASP.

Summary:
Total energy in eV per cell: -131.555
Symmetry: Pmmm
DFT formation energy in eV/atom: -0.28

Cell and atoms, written as Quantum ESPRESSO input:
```
&SYSTEM
  ibrav = 0, nat = 16, ntyp = 3
/
ATOMIC_SPECIES
V 50.94 V.upf
Ge 72.64 Ge.upf
Al 26.98 Al.upf
ATOMIC_POSITIONS crystal
V 0.000 0.253 0.500
V 0.500 0.000 0.375
V 0.000 0.747 0.500
V 0.000 0.251 0.000
V 0.500 0.000 0.625
V 0.752 0.500 0.249
V 0.000 0.749 0.000
V 0.500 0.000 0.874
V 0.500 0.000 0.126
V 0.248 0.500 0.751
V 0.752 0.500 0.751
V 0.248 0.500 0.249
Ge 0.000 0.000 0.750
Ge 0.000 0.000 0.250
Ge 0.500 0.500 0.000
Al 0.500 0.500 0.500
CELL_PARAMETERS angstrom
4.780 0.000 0.000
0.000 4.780 0.000
0.000 0.000 9.499
```


Entry 3:
Below is Zr2RhCl after structural relaxation, with properties calculated at the GGA-PBE level. Values from VASP.

Summary:
Total energy in eV per cell: -29.221
Symmetry: Pmmm
Energy above the most stable polymorph in this dataset in meV per atom: 0
ΔE_f (raw) in meV/atom: -732

Cell and atoms, written as Quantum ESPRESSO input:
```
&SYSTEM
  ibrav = 0, nat = 4, ntyp = 3
/
ATOMIC_SPECIES
Zr 91.22 Zr.upf
Rh 102.91 Rh.upf
Cl 35.45 Cl.upf
ATOMIC_POSITIONS crystal
Zr 0.000 0.250 0.539
Zr 0.000 0.250 0.961
Rh 0.500 0.750 0.750
Cl 0.500 0.250 0.250
CELL_PARAMETERS angstrom
3.042 0.000 0.000
0.000 3.447 -0.017
0.000 0.042 7.836
```